DFT (PBE with a Hubbard U) results for crystalline Mn2Cu5P4H2O18 at its relaxed geometry.

a = 5.4656 Å, b = 7.6797 Å, c = 8.8965 Å
α = 108.05°, β = 95.49°, γ = 102.21°
Closest atoms and distances in Å follow each position.
Atoms (fractional coordinates):
O (0.3964, 0.3783, 0.5589)  1 H 0.99
O (0.0054, 0.1297, 0.6382)  1 P 1.56
O (0.4669, 0.9482, 0.6299)  1 P 1.56
O (0.5331, 0.0518, 0.3701)  1 P 1.56
O (0.8236, 0.4096, 0.7780)  1 P 1.54
O (0.2791, 0.4025, 0.8718)  1 P 1.56
O (0.0859, 0.6957, 0.6303)  1 P 1.54
O (0.7275, 0.9979, 0.1260)  1 P 1.57
O (0.1138, 0.8098, 0.0802)  1 P 1.57
O (0.4892, 0.2562, 0.1961)  1 P 1.54
O (0.5108, 0.7438, 0.8039)  1 P 1.54
O (0.7209, 0.5975, 0.1282)  1 P 1.56
O (0.9946, 0.8703, 0.3618)  1 P 1.56
O (0.9141, 0.3043, 0.3697)  1 P 1.54
O (0.8862, 0.1902, 0.9198)  1 P 1.57
O (0.1764, 0.5904, 0.2220)  1 P 1.54
O (0.6036, 0.6217, 0.4411)  1 H 0.99
O (0.2725, 0.0021, 0.8740)  1 P 1.57
Cu (0.2682, 0.1055, 0.4953)  4 O 1.94-2.02
Cu (0.0000, 0.0000, 0.0000)  4 O 1.95-1.99
Cu (0.2416, 0.4765, 0.3896)  4 O 1.94-2.07
Cu (0.7584, 0.5235, 0.6104)  4 O 1.94-2.07
Cu (0.7318, 0.8945, 0.5047)  4 O 1.94-2.02
P (0.0005, 0.2842, 0.7997)  4 O 1.54-1.57
P (0.6689, 0.1592, 0.2660)  4 O 1.54-1.57
P (0.9995, 0.7158, 0.2003)  4 O 1.54-1.57
P (0.3311, 0.8408, 0.7340)  4 O 1.54-1.57
H (0.3490, 0.4340, 0.6647)  1 O 0.99
H (0.6510, 0.5660, 0.3353)  1 O 0.99
Mn (0.5521, 0.2878, 0.9739)  5 O 2.12-2.28
Mn (0.4479, 0.7122, 0.0261)  5 O 2.12-2.28

Properties
The density of states at the Fermi level comes out at 6.14 states/eV per cell. The magnetization comes out at 14.64 μB/cell. The calculation puts the total energy at -6.462 eV/atom.